A plane-wave DFT calculation with GGA-PBE was carried out for an optimized crystal structure of SrLi3.

Cell lengths 3.923, 3.923, 7.614 Å; angles 90.00, 90.00, 90.03 degrees
Fractional coordinates of all 4 atoms:
Sr 0.500 0.500 0.250
Li 0.000 0.000 0.941
Li 0.500 0.500 0.750
Li 0.000 0.000 0.559

Properties
* calculated formation energy: 0.05 eV per atom
* DOS(E_F): 4.0 states/eV per cell
* space group: P4/mmm (123)